No. 1
The following is a SCAN calculation of NaSmS2 at its PBEsol-relaxed geometry, from Alexandria.

For the total energy, the calculation gives -19.070 eV/atom. The value obtained for the size of the total moment is 0.000 μB per atom. For the energy relative to the elements, uncorrected, the calculation gives -2.091 eV per atom.

The structure belongs to space group R-3m (No. 166, hexagonal axes); the cell edges are 4.0232, 4.0232 and 19.7805 Å and the angles 90.00°, 90.00° and 120.00°. Symmetry generates all atoms from Na at (0.0000, 0.0000, 0.0000), Sm at (0.0000, 0.0000, 0.5000) and S at (0.0000, 0.0000, 0.2440).

=====

No. 2
The following is a SCAN calculation of AgAsPt2 at its PBEsol-relaxed geometry, from Alexandria.

For the total energy, the calculation gives -48.062 eV/atom. The calculated formation energy is -0.3 eV/f.u. The value obtained for the size of the total moment is 0.000 μB per atom.

The structure belongs to space group I-42d (No. 122); the cell edges are 7.0898, 7.0898 and 5.3604 Å and the angles 90.00°, 90.00° and 90.00°. Symmetry generates all atoms from Ag at (0.0000, 0.0000, 0.0000), As at (0.0000, 0.0000, 0.5000) and Pt at (0.2115, 0.2500, 0.6250).

=====

No. 3
The following is a SCAN calculation of MgI2F at its PBEsol-relaxed geometry, from Alexandria.

For the total energy, the calculation gives -21.267 eV/atom. The value obtained for the size of the total moment is 0.250 μB per atom. For the energy relative to the elements, uncorrected, the calculation gives -0.768 eV per atom.

The structure belongs to space group I-42d (No. 122); the cell edges are 6.8174, 6.8174 and 10.9082 Å and the angles 90.00°, 90.00° and 90.00°. Symmetry generates all atoms from Mg at (0.0000, 0.0000, 0.0000), I at (0.2467, 0.7500, 0.1250) and F at (0.0000, 0.0000, 0.5000).

=====

No. 4
The following is a SCAN calculation of MgZn2P2O8 at its PBEsol-relaxed geometry, from Alexandria.

For the total energy, the calculation gives -10.318 eV/atom. The value obtained for the size of the total moment is 0.000 μB per atom. For the energy relative to the elements, uncorrected, the calculation gives -2.422 eV per atom.

The structure belongs to space group P2_1/c (No. 14); the cell edges are 5.0621, 8.3131 and 8.7505 Å and the angles 90.00°, 120.00° and 90.00°. Symmetry generates all atoms from Mg at (0.0000, 0.0000, 0.0000), Zn at (0.0275, 0.1397, 0.6174), P at (0.3402, 0.6925, 0.3003), O at (0.1855, 0.6387, 0.7410), O at (0.2000, 0.5767, 0.1390), O at (0.2684, 0.6340, 0.4419) and O at (0.3117, 0.1969, 0.1259).

=====

No. 5
The following is a SCAN calculation of Ta3CoCl at its PBEsol-relaxed geometry, from Alexandria.

For the total energy, the calculation gives -43.911 eV/atom. The value obtained for the size of the total moment is 0.000 μB per atom. For the energy relative to the elements, uncorrected, the calculation gives 1.095 eV per atom.

The structure belongs to space group Pm-3m (No. 221); the cell edges are 4.5896, 4.5896 and 4.5896 Å and the angles 90.00°, 90.00° and 90.00°. Symmetry generates all atoms from Ta at (0.0000, 0.0000, 0.5000), Co at (0.0000, 0.0000, 0.0000) and Cl at (0.5000, 0.5000, 0.5000).

=====

No. 6
The following is a SCAN calculation of NaMoO2 at its PBEsol-relaxed geometry, from Alexandria.

For the total energy, the calculation gives -14.691 eV/atom. The value obtained for the size of the total moment is 0.000 μB per atom. For the energy relative to the elements, uncorrected, the calculation gives -1.800 eV per atom.

The structure belongs to space group R-3m (No. 166, hexagonal axes); the cell edges are 2.8237, 2.8237 and 17.7222 Å and the angles 90.00°, 90.00° and 120.00°. Symmetry generates all atoms from Na at (0.0000, 0.0000, 0.0000), Mo at (0.0000, 0.0000, 0.5000) and O at (0.0000, 0.0000, 0.2430).

=====

No. 7
The following is a SCAN calculation of Zr2MoW at its PBEsol-relaxed geometry, from Alexandria.

For the total energy, the calculation gives -41.193 eV/atom. The calculated formation energy is 1.2 eV/f.u. The value obtained for the size of the total moment is 0.000 μB per atom.

The structure belongs to space group R3m (No. 160, hexagonal axes); the cell edges are 3.0814, 3.0814 and 27.3467 Å and the angles 90.00°, 90.00° and 120.00°. Symmetry generates all atoms from Zr at (0.0000, 0.0000, 0.0000), Zr at (0.0000, 0.0000, 0.2375), Mo at (0.0000, 0.0000, 0.4871) and W at (0.0000, 0.0000, 0.7519).

=====

No. 8
The following is a SCAN calculation of Sc3RuC4 at its PBEsol-relaxed geometry, from Alexandria.

For the total energy, the calculation gives -15.319 eV/atom. The calculated formation energy is -4.6 eV/f.u. The value obtained for the size of the total moment is 0.000 μB per atom.

The structure belongs to space group C2/m (No. 12); the cell edges are 12.7159, 4.4539 and 6.6046 Å and the angles 90.00°, 105.07° and 90.00°. Symmetry generates all atoms from Sc at (0.0000, 0.0000, 0.0000), Sc at (0.0000, 0.0000, 0.5000), Sc at (0.1892, 0.5000, 0.0944), Sc at (0.1911, 0.5000, 0.5959), Ru at (0.9997, 0.5000, 0.2625), C at (0.1276, 0.1611, 0.3146) and C at (0.1284, 0.1607, 0.8134).

=====

No. 9
The following is a SCAN calculation of Cr2CdNi at its PBEsol-relaxed geometry, from Alexandria.

For the total energy, the calculation gives -20.386 eV/atom. The calculated formation energy is 1.8 eV/f.u. The value obtained for the size of the total moment is 0.573 μB per atom.

The structure belongs to space group P4/mmm (No. 123); the cell edges are 2.5626, 2.5626 and 7.8410 Å and the angles 90.00°, 90.00° and 90.00°. Symmetry generates all atoms from Cr at (0.0000, 0.0000, 0.2179), Cd at (0.5000, 0.5000, 0.5000) and Ni at (0.5000, 0.5000, 0.0000).

=====

No. 10
The following is a SCAN calculation of CdSbMo2 at its PBEsol-relaxed geometry, from Alexandria.

For the total energy, the calculation gives -33.730 eV/atom. The value obtained for the size of the total moment is 0.000 μB per atom. For the energy relative to the elements, uncorrected, the calculation gives 0.631 eV per atom.

The structure belongs to space group F-43m (No. 216); the cell edges are 6.5611, 6.5611 and 6.5611 Å and the angles 90.00°, 90.00° and 90.00°. Symmetry generates all atoms from Cd at (0.0000, 0.0000, 0.0000), Sb at (0.2500, 0.2500, 0.2500), Mo at (0.0000, 0.0000, 0.5000) and Mo at (0.2500, 0.2500, 0.7500).

=====

No. 11
The following is a SCAN calculation of LiSi2As at its PBEsol-relaxed geometry, from Alexandria.

For the total energy, the calculation gives -10.484 eV/atom. The value obtained for the size of the total moment is 0.000 μB per atom. For the energy relative to the elements, uncorrected, the calculation gives 0.169 eV per atom.

The structure belongs to space group Immm (No. 71); the cell edges are 3.3776, 3.7707 and 9.7019 Å and the angles 90.00°, 90.00° and 90.00°. Symmetry generates all atoms from Li at (0.0000, 0.0000, 0.0000), Si at (0.0000, 0.5000, 0.2115) and As at (0.0000, 0.0000, 0.5000).

=====

No. 12
The following is a SCAN calculation of Cs2TlGaI6 at its PBEsol-relaxed geometry, from Alexandria.

For the total energy, the calculation gives -39.447 eV/atom. The value obtained for the size of the total moment is 0.000 μB per atom. For the energy relative to the elements, uncorrected, the calculation gives -0.970 eV per atom.

The structure belongs to space group Fm-3m (No. 225); the cell edges are 11.9621, 11.9621 and 11.9621 Å and the angles 90.00°, 90.00° and 90.00°. Symmetry generates all atoms from Cs at (0.2500, 0.2500, 0.2500), Tl at (0.0000, 0.0000, 0.0000), Ga at (0.0000, 0.0000, 0.5000) and I at (0.0000, 0.0000, 0.2675).

=====

no.,theoretical density (Mg/m³)
1,4.27
2,14.12
3,3.89
4,3.59
5,10.95
6,6.14
7,10.24
8,5.22
9,8.87
10,10.02
11,3.71
12,5.05